Material: Ni2AgHg
Method: DFT, GGA-PBEsol
State: optimized geometry

Results
Its total magnetization is 0.0 μB/f.u. The density of states at the Fermi level is 1.6 states/eV/f.u. The space group is Pmmm (47). The value obtained for the total energy is -3.852 eV/atom. The calculated formation energy is 0.196 eV/atom.

a b c (Å): 3.2352 2.9817 5.8442
angles (deg): 90.00 90.00 90.00
Last column: nearest neighbours and their distance in Å.
Atoms (fractional coordinates):
Ag  0.5000  0.5000  0.0000  8 Ni 2.62, 2 Hg 2.92
Hg  0.5000  0.5000  0.5000  8 Ni 2.66, 2 Ag 2.92, 2 Hg 2.98
Ni  0.0000  0.0000  0.7569  4 Ag 2.62, 4 Hg 2.66, 1 Ni 2.84
Ni  0.0000  0.0000  0.2431  4 Ag 2.62, 4 Hg 2.66, 1 Ni 2.84



Material: Cs2AgBiI6
Method: DFT, GGA-PBEsol
State: optimized geometry

Results
Its total magnetization is 0.0 μB/f.u. The value obtained for the formation energy from raw total energies is -0.84 eV/atom. The space group is Fm-3m (225). The value obtained for the total energy is -2.853 eV/atom.

a b c (Å): 8.6647 8.6647 8.6647
angles (deg): 60.00 60.00 60.00
Last column: nearest neighbours and their distance in Å.
Atoms (fractional coordinates):
Cs  0.7500  0.7500  0.7500  12 I 4.33
Cs  0.2500  0.2500  0.2500  12 I 4.33
I  0.7469  0.2531  0.2531  1 Ag 3.03, 1 Bi 3.10
I  0.7469  0.7469  0.2531  1 Ag 3.03, 1 Bi 3.10
I  0.2531  0.7469  0.7469  1 Ag 3.03, 1 Bi 3.10
I  0.7469  0.2531  0.7469  1 Ag 3.03, 1 Bi 3.10
I  0.2531  0.7469  0.2531  1 Ag 3.03, 1 Bi 3.10
I  0.2531  0.2531  0.7469  1 Ag 3.03, 1 Bi 3.10
Bi  0.0000  0.0000  0.0000  6 I 3.10
Ag  0.5000  0.5000  0.5000  6 I 3.03



Material: TlRe2Hg
Method: DFT, GGA-PBEsol
State: optimized geometry

Results
Its total magnetization is 0.0 μB/f.u. The excess energy over the best structure of this formula in the dataset comes out at 1.11 eV per formula unit. The density of states at the Fermi level is 3.1 states/eV/f.u. The space group is Cmm2 (35). The value obtained for the total energy is -6.786 eV/atom. The calculated formation energy is 0.680 eV/atom.

a b c (Å): 2.8453 2.8453 10.6151
angles (deg): 90.00 90.00 118.20
Last column: nearest neighbours and their distance in Å.
Atoms (fractional coordinates):
Hg  0.5000  0.5000  0.2215  6 Hg 2.85-2.92, 2 Re 2.99
Re  0.0000  0.0000  0.9752  2 Re 2.53
Re  0.5000  0.5000  0.7802  2 Re 2.53
Tl  0.0000  0.0000  0.5231  6 Tl 2.85-2.92, 2 Re 3.10



Material: ZrC
Method: DFT, GGA-PBEsol
State: optimized geometry

Results
Its total magnetization is 0.0 μB/f.u. The excess energy over the best structure of this formula in the dataset comes out at 2.42 eV per formula unit. The density of states at the Fermi level is 2.3 states/eV/f.u. The space group is Pm-3m (221). The value obtained for the total energy is -9.078 eV/atom. The calculated formation energy is 0.289 eV/atom.

a b c (Å): 2.8935 2.8935 2.8935
angles (deg): 90.00 90.00 90.00
Last column: nearest neighbours and their distance in Å.
Atoms (fractional coordinates):
C  0.5000  0.5000  0.5000  8 Zr 2.51
Zr  0.0000  0.0000  0.0000  8 C 2.51



Material: CrTe4W
Method: DFT, GGA-PBEsol
State: optimized geometry

Results
Its total magnetization is 8.6 μB/f.u. The density of states at the Fermi level is 6.1 states/eV/f.u. The value obtained for the formation energy from raw total energies is 1.67 eV/atom. The space group is F-43m (216). The value obtained for the total energy is -4.691 eV/atom.

a b c (Å): 6.0711 6.0711 6.0711
angles (deg): 60.00 60.00 60.00
Last column: nearest neighbours and their distance in Å.
Atoms (fractional coordinates):
Cr  0.0000  0.0000  0.0000  12 Te 3.56, 4 W 3.72
Te  0.3752  0.3752  0.3752  6 Te 3.03-3.04
Te  0.3752  0.3752  0.8743  6 Te 3.03-3.04
Te  0.8743  0.3752  0.3752  6 Te 3.03-3.04
Te  0.3752  0.8743  0.3752  6 Te 3.03-3.04
W  0.7500  0.7500  0.7500  12 Te 3.56, 4 Cr 3.72



Material: Fe2RhSe
Method: DFT, GGA-PBEsol
State: optimized geometry

Results
Its total magnetization is 1.0 μB/f.u. The density of states at the Fermi level is 5.2 states/eV/f.u. The value obtained for the formation energy from raw total energies is 0.29 eV/atom. The space group is P4/mmm (123). The value obtained for the total energy is -7.188 eV/atom.

a b c (Å): 3.5627 3.6734 3.6734
angles (deg): 90.00 90.00 90.00
Last column: nearest neighbours and their distance in Å.
Atoms (fractional coordinates):
Fe  0.0000  0.0000  0.5000  4 Se 2.56, 4 Rh 2.56, 4 Fe 2.60
Fe  0.0000  0.5000  0.0000  4 Se 2.56, 4 Rh 2.56, 4 Fe 2.60
Rh  0.5000  0.5000  0.5000  8 Fe 2.56, 4 Se 2.60
Se  0.5000  0.0000  0.0000  8 Fe 2.56, 4 Rh 2.60